Entry 1:
5
Lattice="4.711 0.000 0.000 0.000 4.711 0.000 0.000 0.000 4.711" Properties=species:S:1:pos:R:3 comment="PBEsol ZnCrSe3, relaxed" final_energy_ev_per_atom=-4.410 vol_a3_per_atom=20.91 e_form_raw_mev_per_atom=265 pbc="T T T"
Zn 0.000 0.000 0.000
Cr 2.355 2.355 2.355
Se 0.000 2.355 2.355
Se 2.355 0.000 2.355
Se 2.355 2.355 0.000

Entry 2:
3
Lattice="2.975 0.000 0.000 -1.488 2.577 0.000 0.000 0.000 6.102" Properties=species:S:1:pos:R:3 comment="PBEsol ZnCrSe, relaxed" final_energy_ev_per_atom=-5.201 vol_a3_per_atom=15.59 e_form_raw_mev_per_atom=24 pbc="T T T"
Zn 0.000 0.000 0.000
Cr 0.000 1.718 4.174
Se 1.488 0.859 2.601